Record 1
The following is a DFT calculation (PBE-GGA) of a relaxed Pm8Dy3Y3 crystal.

Properties
DOS at the Fermi energy   19.3 states/eV per cell
SG   Immm
Energy   -4.979 eV/atom
Spin magnetization   0.00 μB per formula unit
DFT formation energy   0.11 eV/atom

a = 9.7616 Å, b = 9.7616 Å, c = 9.7616 Å
α = 146.15°, β = 111.86°, γ = 78.30°
Atoms (fractional coordinates):
Pm 0.0580 0.3961 0.6619
Pm 0.0671 0.2248 0.8423
Pm 0.2657 0.6039 0.6619
Pm 0.3825 0.2248 0.1577
Pm 0.6175 0.7752 0.8423
Pm 0.7343 0.3961 0.3381
Pm 0.9329 0.7752 0.1577
Pm 0.9420 0.6039 0.3381
Dy 0.3183 0.8183 0.5000
Dy 0.5000 0.5000 0.0000
Dy 0.6817 0.1817 0.5000
Y 0.0000 0.0000 0.0000
Y 0.3033 0.0000 0.3033
Y 0.6967 0.0000 0.6967



Record 2
The following is a DFT calculation (PBE-GGA) of a relaxed AuC2 crystal.

Properties
DOS at the Fermi energy   1.6 states/eV per cell
SG   I4/mmm
Energy   -5.781 eV/atom
Spin magnetization   0.00 μB per formula unit
DFT formation energy   1.46 eV/atom

a = 3.9305 Å, b = 3.9305 Å, c = 3.9305 Å
α = 116.83°, β = 116.83°, γ = 95.58°
Atoms (fractional coordinates):
Au 0.0000 0.0000 0.0000
C 0.3802 0.3802 0.0000
C 0.6198 0.6198 0.0000



Record 3
The following is a DFT calculation (PBE-GGA) of a relaxed SrVSn2 crystal.

Properties
DOS at the Fermi energy   3.4 states/eV per cell
SG   R-3m
Energy   -4.799 eV/atom
Spin magnetization   2.57 μB per formula unit
DFT formation energy   -0.10 eV/atom

a = 6.5168 Å, b = 6.5168 Å, c = 6.5168 Å
α = 41.73°, β = 41.73°, γ = 41.73°
Atoms (fractional coordinates):
Sr 0.0000 0.0000 0.0000
V 0.5000 0.5000 0.5000
Sn 0.2180 0.2180 0.2180
Sn 0.7820 0.7820 0.7820



Record 4
The following is a DFT calculation (PBE-GGA) of a relaxed ScNb2Ag crystal.

Properties
DOS at the Fermi energy   4.4 states/eV per cell
SG   Fm-3m
Energy   -6.875 eV/atom
Spin magnetization   0.00 μB per formula unit
DFT formation energy   0.46 eV/atom

a = 4.7369 Å, b = 4.7369 Å, c = 4.7369 Å
α = 60.00°, β = 60.00°, γ = 60.00°
Atoms (fractional coordinates):
Sc 0.0000 0.0000 0.0000
Nb 0.2500 0.2500 0.2500
Nb 0.7500 0.7500 0.7500
Ag 0.5000 0.5000 0.5000



Record 5
The following is a DFT calculation (PBE-GGA) of a relaxed LiTmCu10 crystal.

Properties
DOS at the Fermi energy   5.9 states/eV per cell
SG   Pmmm
Energy   -4.031 eV/atom
Spin magnetization   0.00 μB per formula unit
DFT formation energy   -0.09 eV/atom

a = 4.0863 Å, b = 4.9320 Å, c = 8.5387 Å
α = 90.00°, β = 90.00°, γ = 90.00°
Atoms (fractional coordinates):
Li 0.0000 0.0000 0.0000
Tm 0.0000 0.5000 0.5000
Cu 0.0000 0.0000 0.3216
Cu 0.0000 0.0000 0.6784
Cu 0.0000 0.5000 0.1592
Cu 0.0000 0.5000 0.8408
Cu 0.5000 0.0000 0.5000
Cu 0.5000 0.2531 0.2512
Cu 0.5000 0.2531 0.7488
Cu 0.5000 0.5000 0.0000
Cu 0.5000 0.7469 0.2512
Cu 0.5000 0.7469 0.7488



Record 6
The following is a DFT calculation (PBE-GGA) of a relaxed In3Sb2S8 crystal.

Properties
DOS at the Fermi energy   4.6 states/eV per cell
SG   C2/m
Energy   -4.092 eV/atom
Spin magnetization   0.00 μB per formula unit
Formation energy (no corrections)   -0.29 eV per atom

a = 8.5026 Å, b = 8.5026 Å, c = 6.5873 Å
α = 111.88°, β = 111.88°, γ = 53.28°
Atoms (fractional coordinates):
In 0.0000 0.0000 0.0000
In 0.2507 0.7493 0.5000
In 0.7493 0.2507 0.5000
Sb 0.3223 0.3223 0.8284
Sb 0.6777 0.6777 0.1716
S 0.1011 0.1011 0.7687
S 0.1214 0.6480 0.7126
S 0.3520 0.8786 0.2874
S 0.3854 0.3854 0.2437
S 0.6146 0.6146 0.7563
S 0.6480 0.1214 0.7126
S 0.8786 0.3520 0.2874
S 0.8989 0.8989 0.2313



Record 7
The following is a DFT calculation (PBE-GGA) of a relaxed BaTe2P crystal.

Properties
DOS at the Fermi energy   1.9 states/eV per cell
SG   R-3m
Energy   -3.762 eV/atom
Spin magnetization   0.00 μB per formula unit
Formation energy (no corrections)   -0.36 eV per atom

a = 7.5903 Å, b = 7.5903 Å, c = 7.5903 Å
α = 35.99°, β = 35.99°, γ = 35.99°
Atoms (fractional coordinates):
Ba 0.0000 0.0000 0.0000
Te 0.2301 0.2301 0.2301
Te 0.7699 0.7699 0.7699
P 0.5000 0.5000 0.5000



Record 8
The following is a DFT calculation (PBE-GGA) of a relaxed Pr5NdEr4 crystal.

Properties
DOS at the Fermi energy   15.6 states/eV per cell
SG   C2/m
Energy   -4.547 eV/atom
Spin magnetization   0.00 μB per formula unit
DFT formation energy   0.14 eV/atom

a = 9.3469 Å, b = 9.3469 Å, c = 10.6325 Å
α = 96.33°, β = 96.33°, γ = 22.21°
Atoms (fractional coordinates):
Pr 0.0000 0.0000 0.0000
Pr 0.3100 0.3100 0.8997
Pr 0.3582 0.3582 0.2712
Pr 0.6418 0.6418 0.7288
Pr 0.6900 0.6900 0.1003
Nd 0.0000 0.0000 0.5000
Er 0.1827 0.1827 0.4129
Er 0.4536 0.4536 0.7377
Er 0.5464 0.5464 0.2623
Er 0.8173 0.8173 0.5871